The following is a DFT calculation (GGA+U) of an optimized crystal structure of CoSnN2F.

Structure (extended XYZ):
```
5
Lattice="4.118 0.000 0.000 0.000 4.118 0.000 0.000 0.000 4.093" Properties=species:S:1:pos:R:3 pbc="T T T"
Co 0.000 0.000 0.000
Sn 2.059 2.059 2.046
N 0.000 2.059 2.046
N 2.059 0.000 2.046
F 2.059 2.059 0.000
```

The total energy comes out at -4.894 eV per atom. The mass density comes out at 5.4 g cm⁻³. The calculation puts the size of the total moment at 2.52 μB/f.u.